# 1
Density functional theory data (PBE) for a geometry-optimized Na4Sr5Ir structure.

Unit cell a=9.2044 b=9.2044 c=9.2044 alpha=95.90 beta=95.90 gamma=142.60
Positions (direct):
Na (0.0000, 0.3450, 0.3450)
Na (0.0000, 0.6550, 0.6550)
Na (0.3450, 0.0000, 0.3450)
Na (0.6550, 0.0000, 0.6550)
Sr (0.0000, 0.0000, 0.0000)
Sr (0.3343, 0.3343, 0.6686)
Sr (0.3343, 0.6657, 0.0000)
Sr (0.6657, 0.3343, 0.0000)
Sr (0.6657, 0.6657, 0.3314)
Ir (0.5000, 0.5000, 0.0000)

Values from the calculation:
Calculated volume in A^3/atom: 44.86
Total energy in eV per atom: -2.32

---

# 2
Density functional theory data (PBE) for a geometry-optimized Na5Sr5Ir structure.

Unit cell a=7.3244 b=7.3244 c=11.7405 alpha=98.22 beta=98.22 gamma=48.68
Positions (direct):
Na (0.0000, 0.0000, 0.0000)
Na (0.2827, 0.2827, 0.0699)
Na (0.4401, 0.4401, 0.8295)
Na (0.5599, 0.5599, 0.1705)
Na (0.7173, 0.7173, 0.9301)
Sr (0.1306, 0.1306, 0.7224)
Sr (0.1742, 0.1742, 0.3798)
Sr (0.5000, 0.5000, 0.5000)
Sr (0.8258, 0.8258, 0.6202)
Sr (0.8694, 0.8694, 0.2776)
Ir (0.0000, 0.0000, 0.5000)

Values from the calculation:
Calculated volume in A^3/atom: 42.47
Total energy in eV per atom: -2.24

---

# 3
Density functional theory data (PBE) for a geometry-optimized NaSrIr structure.

Unit cell a=8.1856 b=8.1856 c=5.5279 alpha=101.10 beta=101.10 gamma=32.14
Positions (direct):
Na (0.0842, 0.0842, 0.3042)
Na (0.9158, 0.9158, 0.6958)
Sr (0.3495, 0.3495, 0.1481)
Sr (0.6505, 0.6505, 0.8519)
Ir (0.2609, 0.2609, 0.5768)
Ir (0.7391, 0.7391, 0.4232)

Values from the calculation:
Polymorph energy (0 for the lowest one) in eV/f.u.: 0.36
Calculated volume in A^3/atom: 32.18
Total energy in eV per atom: -4.00

---

# 4
Density functional theory data (PBE) for a geometry-optimized NaSrTl2Ir structure.

Unit cell a=5.3613 b=5.3613 c=5.7401 alpha=90.00 beta=90.00 gamma=90.00
Positions (direct):
Na (0.0000, 0.0000, 0.0000)
Sr (0.5000, 0.5000, 0.0000)
Tl (0.0000, 0.5000, 0.5000)
Tl (0.5000, 0.0000, 0.5000)
Ir (0.5000, 0.5000, 0.5000)

Values from the calculation:
Calculated volume in A^3/atom: 33.00
Total energy in eV per atom: -3.36

---

# 5
Density functional theory data (PBE) for a geometry-optimized NaSr2TlIr structure.

Unit cell a=5.8603 b=5.8603 c=5.3500 alpha=90.00 beta=90.00 gamma=90.00
Positions (direct):
Na (0.0000, 0.0000, 0.0000)
Sr (0.0000, 0.5000, 0.5000)
Sr (0.5000, 0.0000, 0.5000)
Tl (0.5000, 0.5000, 0.0000)
Ir (0.5000, 0.5000, 0.5000)

Values from the calculation:
Calculated volume in A^3/atom: 36.75
Total energy in eV per atom: -3.31

---

# 6
Density functional theory data (PBE) for a geometry-optimized NaSr2YIr structure.

Unit cell a=6.0089 b=6.0089 c=5.3752 alpha=90.00 beta=90.00 gamma=90.00
Positions (direct):
Na (0.0000, 0.0000, 0.0000)
Sr (0.0000, 0.5000, 0.5000)
Sr (0.5000, 0.0000, 0.5000)
Y (0.5000, 0.5000, 0.0000)
Ir (0.5000, 0.5000, 0.5000)

Values from the calculation:
Calculated volume in A^3/atom: 38.82
Total energy in eV per atom: -4.17

---

Which value of total energy does entry 6 give? -4.17 eV per atom

---

Number 2 is which compound? Na5Sr5Ir